[1]
A plane-wave DFT calculation with PBE-GGA was carried out for a relaxed PmGa4IrPd2 crystal.

It has space group R-3m (No. 166, hexagonal axes), with a = 4.2909 Å, b = 4.2909 Å, c = 26.6611 Å, α = 90.00°, β = 90.00° and γ = 120.00°. The asymmetric unit holds Pm at (0.0000, 0.0000, 0.0000), Ga at (0.0000, 0.0000, 0.1334), Ga at (0.0000, 0.0000, 0.4001), Ir at (0.0000, 0.0000, 0.5000) and Pd at (0.0000, 0.0000, 0.2364).

As for the electronic total energy: -5.121 eV/atom.

---

[2]
A plane-wave DFT calculation with PBE-GGA was carried out for a relaxed PmGa3IrPd crystal.

It has space group Cmcm (No. 63), with a = 8.017 Å, b = 10.987 Å, c = 5.843 Å, α = 90.00°, β = 90.00° and γ = 90.00°. The asymmetric unit holds Pm at (0.000, 0.240, 0.250), Ga at (0.000, 0.250, 0.750), Ga at (0.249, 0.000, 0.000), Ir at (0.000, 0.033, 0.750) and Pd at (0.000, 0.466, 0.750).

As for the electronic total energy: -5.072 eV/atom.

---

[3]
A plane-wave DFT calculation with PBE-GGA was carried out for a relaxed PrGa2IrPd2 crystal.

It has space group P4/mmm (No. 123), with a = 4.733 Å, b = 4.733 Å, c = 5.592 Å, α = 90.00°, β = 90.00° and γ = 90.00°. The asymmetric unit holds Pr at (0.000, 0.000, 0.000), Ga at (0.000, 0.500, 0.500), Ir at (0.000, 0.000, 0.500) and Pd at (0.500, 0.500, 0.245).

As for the electronic total energy: -5.482 eV/atom.

---

[4]
A plane-wave DFT calculation with PBE-GGA was carried out for a relaxed PrGa4IrPd2 crystal.

It has space group R-3m (No. 166, hexagonal axes), with a = 4.2984 Å, b = 4.2984 Å, c = 26.9846 Å, α = 90.00°, β = 90.00° and γ = 120.00°. The asymmetric unit holds Pr at (0.0000, 0.0000, 0.0000), Ga at (0.0000, 0.0000, 0.1336), Ga at (0.0000, 0.0000, 0.4014), Ir at (0.0000, 0.0000, 0.5000) and Pd at (0.0000, 0.0000, 0.2351).

As for the electronic total energy: -5.126 eV/atom.

---

[5]
A plane-wave DFT calculation with PBE-GGA was carried out for a relaxed PrGa3IrPd crystal.

It has space group Cmcm (No. 63), with a = 7.924 Å, b = 11.116 Å, c = 5.900 Å, α = 90.00°, β = 90.00° and γ = 90.00°. The asymmetric unit holds Pr at (0.000, 0.248, 0.250), Ga at (0.000, 0.245, 0.750), Ga at (0.250, 0.000, 0.000), Ir at (0.000, 0.032, 0.750) and Pd at (0.000, 0.459, 0.750).

As for the electronic total energy: -5.094 eV/atom.

---

[6]
A plane-wave DFT calculation with PBE-GGA was carried out for a relaxed PrGa5Ir2Pd crystal.

It has space group P4/mmm (No. 123), with a = 4.810 Å, b = 4.810 Å, c = 7.772 Å, α = 90.00°, β = 90.00° and γ = 90.00°. The asymmetric unit holds Pr at (0.000, 0.000, 0.000), Ga at (0.000, 0.500, 0.320), Ga at (0.500, 0.500, 0.000), Ir at (0.500, 0.500, 0.296) and Pd at (0.000, 0.000, 0.500).

As for the electronic total energy: -5.096 eV/atom.

---

[7]
A plane-wave DFT calculation with PBE-GGA was carried out for a relaxed PrGa4Ir2Pd crystal.

It has space group R-3m (No. 166, hexagonal axes), with a = 4.2995 Å, b = 4.2995 Å, c = 26.4924 Å, α = 90.00°, β = 90.00° and γ = 120.00°. The asymmetric unit holds Pr at (0.0000, 0.0000, 0.0000), Ga at (0.0000, 0.0000, 0.1298), Ga at (0.0000, 0.0000, 0.4010), Ir at (0.0000, 0.0000, 0.2318) and Pd at (0.0000, 0.0000, 0.5000).

As for the electronic total energy: -5.553 eV/atom.

---

[8]
A plane-wave DFT calculation with PBE-GGA was carried out for a relaxed Ga2IrPdPt crystal.

It has space group P4/mmm (No. 123), with a = 4.593 Å, b = 4.593 Å, c = 5.003 Å, α = 90.00°, β = 90.00° and γ = 90.00°. The asymmetric unit holds Ga at (0.000, 0.500, 0.000), Ir at (0.000, 0.000, 0.500), Pd at (0.500, 0.500, 0.500) and Pt at (0.500, 0.500, 0.000).

As for the electronic total energy: -4.436 eV/atom.